[1]
A plane-wave DFT calculation with PBE-GGA was carried out for an optimized crystal structure of CsSrCa2Ag.

Results
**Crystal system**: tetragonal
**ΔE_f**: 0.005 eV/atom

Unit cell a=6.1330 b=6.1330 c=6.3753 alpha=90.00 beta=90.00 gamma=90.00
Element x y z (fractional)
Cs1 0.0000 0.0000 0.0000
Sr1 0.5000 0.5000 0.0000
Ca1 0.0000 0.5000 0.5000
Ca2 0.5000 0.0000 0.5000
Ag1 0.5000 0.5000 0.5000

---

[2]
A plane-wave DFT calculation with PBE-GGA was carried out for an optimized crystal structure of Cs2SrCaAg.

Results
**Crystal system**: tetragonal
**ΔE_f**: 0.765 eV/atom

Unit cell a=8.2535 b=8.2535 c=7.5252 alpha=90.00 beta=90.00 gamma=90.00
Element x y z (fractional)
Cs1 0.0000 0.5000 0.0000
Cs2 0.5000 0.0000 0.0000
Sr1 0.0000 0.0000 0.0000
Ca1 0.0000 0.0000 0.5000
Ag1 0.5000 0.5000 0.5000

---

[3]
A plane-wave DFT calculation with PBE-GGA was carried out for an optimized crystal structure of CsCaAg2Te.

Results
**Formation energy (no corrections)**: 422.4 meV/atom
**Crystal system**: tetragonal

Unit cell a=5.5665 b=5.5665 c=7.2878 alpha=90.00 beta=90.00 gamma=90.00
Element x y z (fractional)
Cs1 0.0000 0.0000 0.0000
Ca1 0.0000 0.0000 0.5000
Ag1 0.0000 0.5000 0.5000
Ag2 0.5000 0.0000 0.5000
Te1 0.5000 0.5000 0.0000

---

[4]
A plane-wave DFT calculation with PBE-GGA was carried out for an optimized crystal structure of Ca3CuAg.

Results
**Crystal system**: monoclinic
**ΔE_f**: -0.202 eV/atom

Unit cell a=8.1459 b=4.2649 c=8.6459 alpha=90.00 beta=109.29 gamma=90.00
Element x y z (fractional)
Ca1 0.0760 0.2500 0.2313
Ca2 0.3120 0.2500 0.9280
Ca3 0.3481 0.7500 0.5880
Ca4 0.6519 0.2500 0.4120
Ca5 0.6880 0.7500 0.0720
Ca6 0.9240 0.7500 0.7687
Cu1 0.0535 0.2500 0.5748
Cu2 0.9465 0.7500 0.4252
Ag1 0.3572 0.7500 0.2031
Ag2 0.6428 0.2500 0.7969

---

[5]
A plane-wave DFT calculation with PBE-GGA was carried out for an optimized crystal structure of Ca5Cu2Ag.

Results
**Crystal system**: tetragonal
**ΔE_f**: -0.182 eV/atom

Unit cell a=9.2411 b=9.2411 c=9.2411 alpha=130.20 beta=130.20 gamma=73.08
Element x y z (fractional)
Ca1 0.0000 0.0000 0.0000
Ca2 0.0293 0.5293 0.8413
Ca3 0.1880 0.0293 0.5000
Ca4 0.3120 0.8120 0.8413
Ca5 0.4707 0.3120 0.5000
Ca6 0.5000 0.5000 0.0000
Ca7 0.5293 0.6880 0.5000
Ca8 0.6880 0.1880 0.1587
Ca9 0.8120 0.9707 0.5000
Ca10 0.9707 0.4707 0.1587
Cu1 0.1141 0.3859 0.5000
Cu2 0.3859 0.8859 0.2718
Cu3 0.6141 0.1141 0.7282
Cu4 0.8859 0.6141 0.5000
Ag1 0.2500 0.2500 0.0000
Ag2 0.7500 0.7500 0.0000

---

[6]
A plane-wave DFT calculation with PBE-GGA was carried out for an optimized crystal structure of Ca4CuAg.

Results
**Crystal system**: monoclinic
**ΔE_f**: -0.143 eV/atom

Unit cell a=8.4351 b=8.4351 c=6.7546 alpha=108.21 beta=108.21 gamma=111.19
Element x y z (fractional)
Ca1 0.0554 0.6983 0.9051
Ca2 0.2367 0.3581 0.7270
Ca3 0.3017 0.9446 0.5949
Ca4 0.3581 0.2367 0.2270
Ca5 0.6419 0.7633 0.7730
Ca6 0.6983 0.0554 0.4051
Ca7 0.7633 0.6419 0.2730
Ca8 0.9446 0.3017 0.0949
Cu1 0.0014 0.9986 0.7500
Cu2 0.9986 0.0014 0.2500
Ag1 0.3660 0.6340 0.2500
Ag2 0.6340 0.3660 0.7500

---

[7]
A plane-wave DFT calculation with PBE-GGA was carried out for an optimized crystal structure of CaCuAg.

Results
**Crystal system**: monoclinic
**ΔE_f**: -0.144 eV/atom

Unit cell a=5.8894 b=5.8894 c=6.5640 alpha=123.56 beta=123.56 gamma=47.70
Element x y z (fractional)
Ca1 0.0000 0.0000 0.0000
Ca2 0.5000 0.5000 0.5000
Cu1 0.0000 0.5000 0.0000
Cu2 0.5000 0.0000 0.0000
Ag1 0.2502 0.2502 0.6325
Ag2 0.7498 0.7498 0.3675

---

[8]
A plane-wave DFT calculation with PBE-GGA was carried out for an optimized crystal structure of Ca4CuAg3.

Results
**Crystal system**: orthorhombic
**ΔE_f**: -0.275 eV/atom

Unit cell a=4.2269 b=4.4891 c=11.2709 alpha=90.00 beta=90.00 gamma=90.00
Element x y z (fractional)
Ca1 0.0000 0.0000 0.0000
Ca2 0.0000 0.5000 0.2756
Ca3 0.5000 0.0000 0.4886
Ca4 0.5000 0.5000 0.7796
Cu1 0.5000 0.0000 0.2056
Ag1 0.0000 0.0000 0.7132
Ag2 0.0000 0.5000 0.5583
Ag3 0.5000 0.5000 0.0700

---

no.,E (eV/atom)
1,-1.87
2,-0.88
3,-1.92
4,-2.79
5,-2.81
6,-2.64
7,-3.13
8,-2.86